[1]
The following is a DFT calculation (GGA-PBE) of a relaxed structure of Na2SrIn2.

```
Na2SrIn2
1.0
9.1749 0.0000 0.0000
0.0000 9.1749 0.0000
0.0000 0.0000 3.6155
In Sr Na
4 2 4
Direct
0.3182 0.1818 0.5000
0.8182 0.3182 0.5000
0.1818 0.6818 0.5000
0.6818 0.8182 0.5000
0.5000 0.5000 0.0000
0.0000 0.0000 0.0000
0.6178 0.1178 0.0000
0.8822 0.6178 0.0000
0.1178 0.3822 0.0000
0.3822 0.8822 0.0000
```

energy relative to the elements = -0.123 eV per atom
energy relative to the lowest polymorph listed for this composition = 40.2 meV per atom
SG = P4/mbm

[2]
The following is a DFT calculation (GGA-PBE) of a relaxed structure of SmHo2Cd.

```
SmHo2Cd
1.0
-0.2344 -2.7135 -2.3491
0.6971 -2.3437 2.6377
-8.8419 -0.7116 1.7044
Ho Cd Sm
2 1 1
Direct
0.0000 0.0000 0.7765
0.0000 0.0000 0.2235
0.5000 0.5000 0.0000
0.5000 0.5000 0.5000
```

energy relative to the elements = -0.149 eV per atom
energy relative to the lowest polymorph listed for this composition = 0.0 meV per atom
SG = P4/mmm

[3]
The following is a DFT calculation (GGA-PBE) of a relaxed structure of ZrMn2BeRe.

```
ZrMn2BeRe
1.0
-1.3253 -2.8110 -2.4918
3.5024 0.8866 -2.8630
2.2251 -2.7164 1.8809
Mn Be Zr Re
2 1 1 1
Direct
0.0000 0.0000 0.5000
0.5000 0.0000 0.0000
0.0000 0.0000 0.0000
0.0000 0.5000 0.0000
0.5000 0.5000 0.5000
```

energy relative to the elements = 0.618 eV per atom
SG = P4/mmm

[4]
The following is a DFT calculation (GGA-PBE) of a relaxed structure of K2TaF.

```
K2TaF
1.0
-7.6890 -1.0647 0.9540
-0.0818 -4.8827 -6.1088
-3.0337 -6.5635 0.2805
K Ta F
4 2 2
Direct
0.8750 0.7499 0.7500
0.3750 0.5001 0.7500
0.2501 0.6250 0.2500
0.4999 0.1250 0.2500
0.0000 0.0000 0.0000
0.7500 0.2500 0.5000
0.2500 0.7500 0.5000
0.5000 0.5000 0.0000
```

formation energy from raw total energies = 0.230 eV per atom
energy relative to the lowest polymorph listed for this composition = 0.0 meV per atom
SG = I-42d

[5]
The following is a DFT calculation (GGA-PBE) of a relaxed structure of LaGa3Co.

```
LaGa3Co
1.0
-3.2324 -5.4959 -0.2104
4.6753 0.7894 4.2680
-7.1788 3.9490 7.1334
Co Ga La
4 12 4
Direct
0.3333 0.6667 0.8760
0.6667 0.3333 0.1240
0.6667 0.3333 0.3760
0.3333 0.6667 0.6240
0.8505 0.7010 0.2500
0.8505 0.1495 0.2500
0.1495 0.8505 0.7500
0.5000 0.0000 0.0000
0.5000 0.5000 0.5000
0.5000 0.5000 0.0000
0.2990 0.1495 0.2500
0.0000 0.5000 0.0000
0.5000 0.0000 0.5000
0.0000 0.5000 0.5000
0.1495 0.2990 0.7500
0.7010 0.8505 0.7500
0.0000 0.0000 0.0000
0.0000 0.0000 0.5000
0.3333 0.6667 0.2500
0.6667 0.3333 0.7500
```

energy relative to the elements = -0.501 eV per atom
SG = P6_3/mmc

[6]
The following is a DFT calculation (GGA-PBE) of a relaxed structure of Ca4AcEu.

```
Ca4AcEu
1.0
7.2564 0.0000 0.0000
3.6282 6.2842 0.0000
3.6282 2.0947 5.9248
Ca Ac Eu
4 1 1
Direct
0.6248 0.6248 0.6248
0.1256 0.6248 0.6248
0.6248 0.1256 0.6248
0.6248 0.6248 0.1256
0.2500 0.2500 0.2500
0.0000 0.0000 0.0000
```

energy relative to the elements = 0.127 eV per atom
SG = F-43m

[7]
The following is a DFT calculation (GGA-PBE) of a relaxed structure of LiLa2PaS5.

```
LiLa2PaS5
1.0
-2.7922 -0.5766 -2.8148
5.5967 -6.3736 -1.3949
-6.2127 -7.1236 7.6222
S Li La Pa
10 2 4 2
Direct
0.9523 0.9047 0.5618
0.4972 0.9943 0.7784
0.3110 0.6220 0.3511
0.7103 0.4206 0.1618
0.5028 0.0057 0.2784
0.6890 0.3780 0.8511
0.2897 0.5794 0.6618
0.6379 0.2758 0.5018
0.0477 0.0953 0.0618
0.3621 0.7242 0.0018
0.5157 0.0314 0.9716
0.4843 0.9686 0.4716
0.8726 0.7452 0.8008
0.1274 0.2548 0.3008
0.1100 0.2201 0.6903
0.8900 0.7799 0.1903
0.8011 0.6021 0.5063
0.1989 0.3979 0.0063
```

formation energy from raw total energies = -1.854 eV per atom
SG = Cmc2_1

[8]
The following is a DFT calculation (GGA-PBE) of a relaxed structure of Rb3Ag2I4.

```
Rb3Ag2I4
1.0
9.6148 -0.6512 -0.4663
-0.2860 10.0765 1.2939
-0.2860 4.4716 9.1222
Rb I Ag
6 8 4
Direct
0.3674 0.2212 0.0606
0.6326 0.7788 0.9394
0.8674 0.0606 0.2212
0.7500 0.4866 0.5134
0.2500 0.5134 0.4866
0.1326 0.9394 0.7788
0.0160 0.2547 0.8174
0.1789 0.2399 0.3419
0.9840 0.7453 0.1826
0.6789 0.3419 0.2399
0.8211 0.7601 0.6581
0.4840 0.1826 0.7453
0.5160 0.8174 0.2547
0.3211 0.6581 0.7601
0.4685 0.1393 0.4817
0.0315 0.5183 0.8607
0.5315 0.8607 0.5183
0.9685 0.4817 0.1393
```

formation energy from raw total energies = -0.889 eV per atom
SG = C2/c

[9]
The following is a DFT calculation (GGA-PBE) of a relaxed structure of Pm8Co2Sb.

```
Pm8Co2Sb
1.0
-2.3390 1.0884 4.8855
-4.6582 -6.2425 -1.9877
7.2879 -1.9502 2.7753
Co Sb Pm
2 1 8
Direct
0.0000 0.7045 0.2955
0.0000 0.2955 0.7045
0.5000 0.0000 0.0000
0.5000 0.2484 0.7516
0.0665 0.0752 0.3311
0.5000 0.7516 0.2484
0.9335 0.9248 0.6689
0.6980 0.3945 0.3945
0.0665 0.3311 0.0752
0.9335 0.6689 0.9248
0.3020 0.6055 0.6055
```

formation energy from raw total energies = -0.160 eV per atom
SG = C2/m

[10]
The following is a DFT calculation (GGA-PBE) of a relaxed structure of CaEr2Lu.

```
CaEr2Lu
1.0
-4.1305 -3.8582 -0.4490
-1.7814 -2.7946 4.6006
-5.1308 1.0752 2.1604
Lu Ca Er
1 1 2
Direct
0.0000 0.0000 0.0000
0.5000 0.5000 0.5000
0.2500 0.2500 0.2500
0.7500 0.7500 0.7500
```

energy relative to the elements = 0.181 eV per atom
energy relative to the lowest polymorph listed for this composition = 95.1 meV per atom
SG = Fm-3m

[11]
The following is a DFT calculation (GGA-PBE) of a relaxed structure of K3W2Cl9.

```
K3W2Cl9
1.0
-7.4390 -0.3175 0.2669
3.5313 -0.7899 -6.5126
0.7709 -16.0746 2.3677
Cl K W
18 6 4
Direct
0.1175 0.3610 0.5962
0.6390 0.7565 0.9038
0.8825 0.6390 0.4038
0.3610 0.2435 0.0962
0.6390 0.7565 0.5962
0.5720 0.0054 0.7500
0.2434 0.8824 0.5962
0.9946 0.5666 0.7500
0.8825 0.6390 0.0962
0.4333 0.4279 0.7500
0.7566 0.1176 0.0962
0.3610 0.2435 0.4038
0.4280 0.9946 0.2500
0.2434 0.8824 0.9038
0.0054 0.4334 0.2500
0.5667 0.5721 0.2500
0.1175 0.3610 0.9038
0.7566 0.1176 0.4038
0.0000 0.0000 0.7500
0.6667 0.3333 0.5713
0.3333 0.6667 0.0713
0.3333 0.6667 0.4287
0.6667 0.3333 0.9287
0.0000 0.0000 0.2500
0.3333 0.6666 0.6770
0.6667 0.3334 0.3230
0.3333 0.6666 0.8230
0.6667 0.3334 0.1770
```

formation energy from raw total energies = -1.307 eV per atom
SG = P6_3/m

[12]
The following is a DFT calculation (GGA-PBE) of a relaxed structure of ScFe2H.

```
ScFe2H
1.0
5.1498 0.0000 0.0000
0.0000 5.1498 0.0000
2.5749 2.5749 3.6470
Sc Fe H
2 4 2
Direct
0.7500 0.2500 0.5000
0.0000 0.0000 0.0000
0.3750 0.6250 0.2500
0.8750 0.6250 0.7500
0.3750 0.1250 0.2500
0.3750 0.6250 0.7500
0.2500 0.7500 0.5000
0.5000 0.5000 0.0000
```

energy relative to the lowest polymorph listed for this composition = 0.0 meV per atom
SG = Fd-3m